(1)
Compound: Re2TcAg
Source: Alexandria via LeMat-Bulk
Functional: meta-GGA SCAN
Structure: PBEsol geometry

Output
N(E_F)	0.676	states/eV per atom
V	59.4	Å³/f.u.
formation energy	0.422	eV per atom

Structure (POSCAR):
```
Re2TcAg
1.0
2.7533 0.0000 0.0000
0.0000 4.7631 0.0070
-1.3766 -0.8803 4.5260
Ag Re Tc
1 2 1
Direct
0.2497 0.7485 0.4994
0.0086 0.0219 0.0172
0.7517 0.2504 0.5035
0.4900 0.4792 0.9799
```

***

(2)
Compound: LiZr3N
Source: Alexandria via LeMat-Bulk
Functional: meta-GGA SCAN
Structure: PBEsol geometry

Output
raw formation energy	7.7	eV/f.u.
N(E_F)	1.156	states/eV per atom
V	89.8	Å³/f.u.

Structure (POSCAR):
```
LiZr3N
1.0
4.4780 0.0000 0.0000
0.0000 4.4780 0.0000
0.0000 0.0000 4.4780
Li Zr N
1 3 1
Direct
0.0000 0.0000 0.0000
0.0000 0.5000 0.0000
0.0000 0.0000 0.5000
0.5000 0.0000 0.0000
0.5000 0.5000 0.5000
```

***

(3)
Compound: CaAs2Br
Source: Alexandria via LeMat-Bulk
Functional: meta-GGA SCAN
Structure: PBEsol geometry

Output
raw formation energy	-3.0	eV/f.u.
N(E_F)	0.263	states/eV per atom
V	95.7	Å³/f.u.

Structure (POSCAR):
```
CaAs2Br
1.0
3.7779 0.0000 0.0000
1.8890 5.2387 0.0607
1.8890 1.9664 4.8560
As Ca Br
2 1 1
Direct
0.9567 0.0433 0.0433
0.2793 0.2207 0.2207
0.7570 0.7430 0.7430
0.5070 0.4930 0.4930
```

***

The records above yield ρ values of 16.2, 5.4, 4.7 g cm⁻³, respectively.